[1]
# Tb2PdS, optimized geometry, DFT PBE
# Crystal system = trigonal
# E above lowest polymorph = 0.6562 eV/atom
# Size of the total moment = 0.00 μB per atom
# Space-group type = R-3m
data_Tb2PdS
_cell_length_a 3.6279
_cell_length_b 3.6279
_cell_length_c 8.9266
_cell_angle_alpha 78.28
_cell_angle_beta 78.28
_cell_angle_gamma 60.00
_symmetry_space_group_name_H-M 'P 1'
_symmetry_Int_Tables_number 1
_symmetry_space_group_name_Hall 'P 1'
loop_
_atom_site_label
_atom_site_type_symbol
_atom_site_fract_x
_atom_site_fract_y
_atom_site_fract_z
Tb1 Tb 0.1010 0.1010 0.6970
Tb2 Tb 0.8990 0.8990 0.3030
S1 S 0.5000 0.5000 0.5000
Pd1 Pd 0.0000 0.0000 0.0000

[2]
# Tb4PdS3, optimized geometry, DFT PBE
# Crystal system = hexagonal
# Size of the total moment = 0.00 μB per atom
# Space-group type = P6_3/mmc
data_Tb4PdS3
_cell_length_a 3.8879
_cell_length_b 3.8879
_cell_length_c 27.3350
_cell_angle_alpha 90.00
_cell_angle_beta 90.00
_cell_angle_gamma 120.00
_symmetry_space_group_name_H-M 'P 1'
_symmetry_Int_Tables_number 1
_symmetry_space_group_name_Hall 'P 1'
loop_
_atom_site_label
_atom_site_type_symbol
_atom_site_fract_x
_atom_site_fract_y
_atom_site_fract_z
Tb1 Tb 0.6667 0.3333 0.9400
Tb2 Tb 0.0000 0.0000 0.1823
Tb3 Tb 0.0000 0.0000 0.3177
Tb4 Tb 0.3333 0.6667 0.4400
Tb5 Tb 0.6667 0.3333 0.5600
Tb6 Tb 0.3333 0.6667 0.0600
Tb7 Tb 0.0000 0.0000 0.8177
Tb8 Tb 0.0000 0.0000 0.6823
S1 S 0.3333 0.6667 0.6191
S2 S 0.6667 0.3333 0.1191
S3 S 0.0000 0.0000 0.0000
S4 S 0.3333 0.6667 0.8809
S5 S 0.6667 0.3333 0.3809
S6 S 0.0000 0.0000 0.5000
Pd1 Pd 0.6667 0.3333 0.7500
Pd2 Pd 0.3333 0.6667 0.2500

[3]
# Tb5PdS4, optimized geometry, DFT PBE
# Crystal system = monoclinic
# Size of the total moment = 0.00 μB per atom
# Space-group type = C2/m
data_Tb5PdS4
_cell_length_a 3.8993
_cell_length_b 6.9519
_cell_length_c 8.8943
_cell_angle_alpha 75.44
_cell_angle_beta 77.34
_cell_angle_gamma 73.71
_symmetry_space_group_name_H-M 'P 1'
_symmetry_Int_Tables_number 1
_symmetry_space_group_name_Hall 'P 1'
loop_
_atom_site_label
_atom_site_type_symbol
_atom_site_fract_x
_atom_site_fract_y
_atom_site_fract_z
S1 S 0.5999 0.2030 0.5972
S2 S 0.4001 0.7970 0.4028
S3 S 0.7995 0.6038 0.7972
S4 S 0.2005 0.3962 0.2028
Tb1 Tb 0.3990 0.3043 0.8977
Tb2 Tb 0.2025 0.9009 0.6941
Tb3 Tb 0.6010 0.6957 0.1023
Tb4 Tb 0.0000 0.5000 0.5000
Tb5 Tb 0.7975 0.0991 0.3059
Pd1 Pd 0.0000 0.0000 0.0000

[4]
# TbPd3S4, optimized geometry, DFT PBE
# Crystal system = cubic
# Size of the total moment = 0.00 μB per atom
# Space-group type = Pm-3n
data_TbPd3S4
_cell_length_a 6.7057
_cell_length_b 6.7057
_cell_length_c 6.7057
_cell_angle_alpha 90.00
_cell_angle_beta 90.00
_cell_angle_gamma 90.00
_symmetry_space_group_name_H-M 'P 1'
_symmetry_Int_Tables_number 1
_symmetry_space_group_name_Hall 'P 1'
loop_
_atom_site_label
_atom_site_type_symbol
_atom_site_fract_x
_atom_site_fract_y
_atom_site_fract_z
Pd1 Pd 0.0000 0.5000 0.7500
Pd2 Pd 0.7500 0.0000 0.5000
Pd3 Pd 0.5000 0.2500 0.0000
Pd4 Pd 0.0000 0.5000 0.2500
Pd5 Pd 0.5000 0.7500 0.0000
Pd6 Pd 0.2500 0.0000 0.5000
S1 S 0.7500 0.7500 0.7500
S2 S 0.7500 0.2500 0.2500
S3 S 0.7500 0.2500 0.7500
S4 S 0.2500 0.2500 0.7500
S5 S 0.2500 0.7500 0.2500
S6 S 0.2500 0.2500 0.2500
S7 S 0.2500 0.7500 0.7500
S8 S 0.7500 0.7500 0.2500
Tb1 Tb 0.0000 0.0000 0.0000
Tb2 Tb 0.5000 0.5000 0.5000

no.,density of states at the Fermi level (states/eV per atom),formation energy from raw total energies (eV/atom),energy (Ha/atom)
1,0.595,-0.79,-0.1996
2,0.484,-1.67,-0.2273
3,0.419,-1.75,-0.2293
4,0.356,-0.89,-0.2013